# 1
Here is an optimized crystal structure of LiH3Pt from Alexandria via LeMat-Bulk. Energies are from GGA-PBE.

It has space group C2/m (No. 12), with a = 11.784 Å, b = 2.837 Å, c = 5.197 Å, α = 90.00°, β = 91.79° and γ = 90.00°. Symmetry generates all atoms from Li at (0.149, 0.000, 0.156), H at (0.023, 0.000, 0.810), H at (0.159, 0.000, 0.545), H at (0.187, 0.500, 0.923) and Pt at (0.088, 0.500, 0.678).

The calculation puts the electronic total energy at -3.81 eV per atom. Its total magnetization is 0.0 μB/f.u.



# 2
Here is an optimized crystal structure of Ce2PmGaCo from Alexandria via LeMat-Bulk. Energies are from GGA-PBE.

It has space group P4/mmm (No. 123), with a = 4.901 Å, b = 4.901 Å, c = 5.551 Å, α = 90.00°, β = 90.00° and γ = 90.00°. Symmetry generates all atoms from Ce at (0.000, 0.500, 0.000), Pm at (0.000, 0.000, 0.500), Ga at (0.500, 0.500, 0.500) and Co at (0.000, 0.000, 0.000).

The calculation puts the electronic total energy at -5.52 eV per atom. The calculation puts the formation energy at -0.1688 eV/atom. Its total magnetization is 0.6 μB/f.u.



# 3
Here is an optimized crystal structure of Pr4Y5In from Alexandria via LeMat-Bulk. Energies are from GGA-PBE.

It has space group P4/mmm (No. 123), with a = 3.653 Å, b = 3.653 Å, c = 24.599 Å, α = 90.00°, β = 90.00° and γ = 90.00°. Symmetry generates all atoms from Pr at (0.000, 0.000, 0.104), Pr at (0.000, 0.000, 0.313), Y at (0.500, 0.500, 0.000), Y at (0.500, 0.500, 0.208), Y at (0.500, 0.500, 0.417) and In at (0.000, 0.000, 0.500).

The calculation puts the electronic total energy at -5.51 eV per atom. The calculation puts the formation energy at -0.0931 eV/atom. Its total magnetization is 0.0 μB/f.u.



# 4
Here is an optimized crystal structure of Li2Ca5Ag12 from Alexandria via LeMat-Bulk. Energies are from GGA-PBE.

It has space group C2/m (No. 12), with a = 15.635 Å, b = 7.574 Å, c = 7.132 Å, α = 90.00°, β = 92.84° and γ = 90.00°. Symmetry generates all atoms from Li at (0.000, 0.214, 0.000), Ca at (0.000, 0.500, 0.500), Ca at (0.198, 0.000, 0.040), Ca at (0.244, 0.500, 0.435), Ag at (0.053, 0.000, 0.683), Ag at (0.105, 0.197, 0.347), Ag at (0.106, 0.500, 0.096) and Ag at (0.143, 0.312, 0.755).

The calculation puts the electronic total energy at -2.75 eV per atom. The calculation puts the formation energy at -0.2202 eV/atom. Its total magnetization is 0.0 μB/f.u.



# 5
Here is an optimized crystal structure of Sc2Ag2H from Alexandria via LeMat-Bulk. Energies are from GGA-PBE.

It has space group I4/mmm (No. 139), with a = 3.672 Å, b = 3.672 Å, c = 15.165 Å, α = 90.00°, β = 90.00° and γ = 90.00°. Symmetry generates all atoms from Sc at (0.000, 0.000, 0.095), Ag at (0.000, 0.500, 0.250) and H at (0.000, 0.000, 0.500).

The calculation puts the electronic total energy at -3.93 eV per atom. Its total magnetization is 1.7 μB/f.u.



# 6
Here is an optimized crystal structure of LaDy4Ho3 from Alexandria via LeMat-Bulk. Energies are from GGA-PBE.

It has space group Immm (No. 71), with a = 3.448 Å, b = 6.689 Å, c = 22.627 Å, α = 90.00°, β = 90.00° and γ = 90.00°. Symmetry generates all atoms from La at (0.000, 0.000, 0.000), Dy at (0.000, 0.258, 0.127), Ho at (0.000, 0.000, 0.260) and Ho at (0.000, 0.000, 0.500).

The calculation puts the electronic total energy at -4.47 eV per atom. The calculation puts the formation energy at 0.1682 eV/atom. Its total magnetization is 0.0 μB/f.u.



# 7
Here is an optimized crystal structure of RbIr from Alexandria via LeMat-Bulk. Energies are from GGA-PBE.

It has space group Pmmn (No. 59, origin choice 2), with a = 4.381 Å, b = 11.140 Å, c = 10.123 Å, α = 90.00°, β = 90.00° and γ = 90.00°. Symmetry generates all atoms from Rb at (0.250, 0.081, 0.212), Rb at (0.250, 0.250, 0.660), Ir at (0.250, 0.545, 0.522) and Ir at (0.250, 0.750, 0.590).

The calculation puts the electronic total energy at -4.43 eV per atom. The calculation puts the formation energy at 0.4824 eV/atom. Its total magnetization is 0.0 μB/f.u.



# 8
Here is an optimized crystal structure of SrBe2GaIr from Alexandria via LeMat-Bulk. Energies are from GGA-PBE.

It has space group P4/mmm (No. 123), with a = 4.478 Å, b = 4.478 Å, c = 4.722 Å, α = 90.00°, β = 90.00° and γ = 90.00°. Symmetry generates all atoms from Sr at (0.000, 0.000, 0.000), Be at (0.000, 0.500, 0.500), Ga at (0.500, 0.500, 0.000) and Ir at (0.500, 0.500, 0.500).

The calculation puts the electronic total energy at -4.49 eV per atom. The calculation puts the formation energy at -0.2844 eV/atom. Its total magnetization is 0.0 μB/f.u.



# 9
Here is an optimized crystal structure of GdCoSn from Alexandria via LeMat-Bulk. Energies are from GGA-PBE.

It has space group F-43m (No. 216), with a = 6.446 Å, b = 6.446 Å, c = 6.446 Å, α = 90.00°, β = 90.00° and γ = 90.00°. Symmetry generates all atoms from Gd at (0.000, 0.000, 0.000), Co at (0.250, 0.250, 0.250) and Sn at (0.000, 0.000, 0.500).

The calculation puts the electronic total energy at -8.75 eV per atom. The calculation puts the formation energy at -0.3511 eV/atom. Its total magnetization is 8.5 μB/f.u.



# 10
Here is an optimized crystal structure of ZrTa2C from Alexandria via LeMat-Bulk. Energies are from GGA-PBE.

It has space group Cmmm (No. 65), with a = 4.843 Å, b = 8.795 Å, c = 3.089 Å, α = 90.00°, β = 90.00° and γ = 90.00°. Symmetry generates all atoms from Zr at (0.000, 0.000, 0.000), Ta at (0.000, 0.330, 0.500) and C at (0.000, 0.500, 0.000).

The calculation puts the electronic total energy at -10.77 eV per atom. The calculation puts the formation energy at -0.4035 eV/atom. Its total magnetization is 0.0 μB/f.u.



# 11
Here is an optimized crystal structure of MnBeC3 from Alexandria via LeMat-Bulk. Energies are from GGA-PBE.

It has space group Pm-3m (No. 221), with a = 3.730 Å, b = 3.730 Å, c = 3.730 Å, α = 90.00°, β = 90.00° and γ = 90.00°. Symmetry generates all atoms from Mn at (0.000, 0.000, 0.000), Be at (0.500, 0.500, 0.500) and C at (0.000, 0.000, 0.500).

The calculation puts the electronic total energy at -6.07 eV per atom. The calculation puts the formation energy at 2.0478 eV/atom. Its total magnetization is 0.0 μB/f.u.



# 12
Here is an optimized crystal structure of TiMnAl2 from Alexandria via LeMat-Bulk. Energies are from GGA-PBE.

It has space group Fm-3m (No. 225), with a = 6.080 Å, b = 6.080 Å, c = 6.080 Å, α = 90.00°, β = 90.00° and γ = 90.00°. Symmetry generates all atoms from Ti at (0.000, 0.000, 0.000), Mn at (0.000, 0.000, 0.500) and Al at (0.250, 0.250, 0.250).

The calculation puts the electronic total energy at -6.30 eV per atom. The calculation puts the formation energy at -0.1585 eV/atom. Its total magnetization is 0.0 μB/f.u.